[1]
Rb2TmTl2Cl6 (PBE, relaxed); VASP energy = -3.678 eV/atom; density = 3.58 g/cm³; formation energy without anion corrections = -1.658 eV/atom
1.0
3.885 -6.861 0.000
3.885 6.861 0.000
-2.654 0.000 8.365
Rb Tm Tl Cl
2 1 2 6
direct
0.164 0.836 0.000
0.836 0.164 0.000
0.500 0.500 0.000
0.244 0.756 0.500
0.756 0.244 0.500
0.166 0.166 0.816
0.289 0.561 0.181
0.439 0.711 0.819
0.561 0.289 0.181
0.711 0.439 0.819
0.834 0.834 0.184

---

[2]
GdUTc4 (PBE, relaxed); formation energy from the elements = 0.05 eV per atom; VASP energy = -11.088 eV/atom; density = 11.89 g/cm³
1.0
0.000 3.803 3.803
3.803 0.000 3.803
3.803 3.803 0.000
Gd U Tc
1 1 4
direct
0.000 0.000 0.000
0.250 0.250 0.250
0.124 0.625 0.625
0.625 0.124 0.625
0.625 0.625 0.124
0.625 0.625 0.625

---

[3]
K2Np3S6 (PBE, relaxed); VASP energy = -7.397 eV/atom; density = 5.14 g/cm³; formation energy without anion corrections = -1.417 eV/atom
1.0
3.495 -6.052 0.000
3.495 6.052 0.000
-2.325 0.000 7.491
K Np S
2 3 6
direct
0.167 0.833 0.000
0.833 0.167 0.000
0.000 0.000 0.500
0.334 0.666 0.500
0.666 0.334 0.500
0.062 0.397 0.693
0.267 0.267 0.307
0.397 0.062 0.693
0.603 0.938 0.307
0.733 0.733 0.693
0.938 0.603 0.307

---

[4]
Sr2WBr (PBE, relaxed); VASP energy = -3.809 eV/atom; density = 5.11 g/cm³; formation energy without anion corrections = 0.688 eV/atom
1.0
3.792 0.000 0.000
0.000 3.792 0.000
0.000 0.000 9.924
Sr W Br
2 1 1
direct
0.000 0.000 0.000
0.500 0.500 0.359
0.000 0.000 0.551
0.500 0.500 0.834

---

Which formula does entry 4 have? Sr2WBr

---

Which formula does entry 1 have? Rb2TmTl2Cl6